(1)
This record from Alexandria describes crystalline YTa2Pt at its relaxed geometry. The functional is PBE.

ρ in Mg/m³: 13.68
Distance to the lowest polymorph of the same formula in meV per atom: 242
Total magnetization in μB/cell: 0.000

The structure in POSCAR format:
```
YTa2Pt
1.0
-1.644 0.612 2.359
-2.393 -0.940 -1.424
1.413 -8.387 3.161
Y Ta Pt
1 2 1
Direct
0.500 0.500 0.250 Y
0.000 0.000 0.968 Ta
0.000 0.000 0.532 Ta
0.500 0.500 0.750 Pt
```



(2)
This record from Alexandria describes crystalline YTa3Pt at its relaxed geometry. The functional is PBE.

ρ in Mg/m³: 12.19
Distance to the lowest polymorph of the same formula in meV per atom: 1554
Total magnetization in μB/cell: 0.000

The structure in POSCAR format:
```
YTa3Pt
1.0
4.829 0.000 0.000
0.000 4.829 0.000
0.000 0.000 4.829
Ta Y Pt
3 1 1
Direct
0.500 0.000 0.000 Ta
0.000 0.500 0.000 Ta
0.000 0.000 0.500 Ta
0.000 0.000 0.000 Y
0.500 0.500 0.500 Pt
```



(3)
This record from Alexandria describes crystalline YTaPt2 at its relaxed geometry. The functional is PBE.

ρ in Mg/m³: 14.05
Energy in eV/atom: -8.3808
Total magnetization in μB/cell: 0.000

The structure in POSCAR format:
```
YTaPt2
1.0
-1.139 3.743 1.940
-3.022 -0.080 -1.620
-3.589 -2.720 3.140
Pt Y Ta
2 1 1
Direct
0.500 0.030 0.312 Pt
0.000 0.215 0.945 Pt
0.500 0.770 0.838 Y
0.000 0.484 0.405 Ta
```



(4)
This record from Alexandria describes crystalline Y3TaPt12 at its relaxed geometry. The functional is PBE.

ρ in Mg/m³: 16.86
Energy in eV/atom: -7.4298
Total magnetization in μB/cell: 0.000

The structure in POSCAR format:
```
Y3TaPt12
1.0
-2.878 -1.187 2.654
-2.600 -0.620 -3.097
5.220 -15.507 -1.278
Ta Y Pt
1 3 12
Direct
0.000 0.000 0.000 Ta
0.000 0.000 0.500 Y
0.000 0.000 0.249 Y
0.000 0.000 0.751 Y
0.500 0.500 0.244 Pt
0.000 0.500 0.373 Pt
0.500 0.000 0.627 Pt
0.000 0.500 0.885 Pt
0.500 0.000 0.373 Pt
0.500 0.500 0.756 Pt
0.500 0.500 0.000 Pt
0.500 0.500 0.500 Pt
0.500 0.000 0.115 Pt
0.500 0.000 0.885 Pt
0.000 0.500 0.115 Pt
0.000 0.500 0.627 Pt
```